*P*
# Cd5In3

Cd5In3 at its PBEsol-relaxed geometry (SCAN, Alexandria via LeMat-Bulk).

Structure (POSCAR):
```
Cd5In3
1.0
5.776 0.000 0.000
2.888 7.112 0.000
2.888 0.000 9.047
In Cd
6 10
Direct
0.205 0.000 0.591
0.250 0.500 0.500
0.795 0.000 0.409
0.314 0.371 0.000
0.750 0.500 0.500
0.686 0.629 0.000
0.252 0.693 0.804
0.457 0.788 0.298
0.755 0.000 0.000
0.245 0.212 0.298
0.755 0.788 0.702
0.543 0.212 0.702
0.748 0.307 0.196
0.945 0.307 0.804
0.245 0.000 0.000
0.055 0.693 0.196
```

## Properties
**N(E_F)**: 5.6 states/eV per cell

---

*Q*
# Cd5In3

Cd5In3 at its PBEsol-relaxed geometry (SCAN, Alexandria via LeMat-Bulk).

Structure (POSCAR):
```
Cd5In3
1.0
4.477 0.000 0.000
0.000 6.327 -0.007
0.000 -0.063 6.327
Cd In
5 3
Direct
0.000 0.500 0.000
0.500 0.754 0.754
0.000 0.000 0.000
0.000 0.000 0.500
0.500 0.246 0.246
0.000 0.500 0.500
0.500 0.753 0.247
0.500 0.247 0.753
```

## Properties
**N(E_F)**: 2.9 states/eV per cell

---

Stability, highest: *Q*

---

*P*
# Cd2In3

Cd2In3 at its PBEsol-relaxed geometry (SCAN, Alexandria via LeMat-Bulk).

Structure (POSCAR):
```
Cd2In3
1.0
-1.763 -2.094 2.209
1.738 -2.342 1.966
1.092 6.132 9.486
In Cd
3 2
Direct
0.000 0.000 0.000
0.201 0.201 0.396
0.799 0.799 0.604
0.400 0.400 0.801
0.600 0.600 0.199
```

## Properties
**N(E_F)**: 1.7 states/eV per cell

---

*Q*
# Cd2In3

Cd2In3 at its PBEsol-relaxed geometry (SCAN, Alexandria via LeMat-Bulk).

Structure (POSCAR):
```
Cd2In3
1.0
-2.137 -3.315 2.477
1.140 -0.786 -4.447
6.071 -2.430 1.985
In Cd
3 2
Direct
0.667 0.333 0.636
0.333 0.667 0.364
0.000 0.000 0.000
0.333 0.667 0.815
0.667 0.333 0.185
```

## Properties
**N(E_F)**: 2.1 states/eV per cell

---

Stability, highest: *P*

---

*P*
# Cd3In4

Cd3In4 at its PBEsol-relaxed geometry (SCAN, Alexandria via LeMat-Bulk).

Structure (POSCAR):
```
Cd3In4
1.0
5.701 0.000 0.000
-2.851 4.937 0.000
0.000 0.000 6.000
Cd In
3 4
Direct
0.500 0.000 0.000
0.500 0.500 0.000
0.000 0.500 0.000
0.000 0.000 0.258
0.667 0.333 0.500
0.333 0.667 0.500
0.000 0.000 0.742
```

## Properties
**N(E_F)**: 2.2 states/eV per cell

---

*Q*
# Cd3In4

Cd3In4 at its PBEsol-relaxed geometry (SCAN, Alexandria via LeMat-Bulk).

Structure (POSCAR):
```
Cd3In4
1.0
3.756 0.000 0.000
0.000 3.756 0.000
-1.878 -1.878 11.866
Cd In
3 4
Direct
0.000 0.000 0.000
0.717 0.717 0.435
0.283 0.283 0.565
0.429 0.429 0.857
0.853 0.853 0.705
0.571 0.571 0.143
0.147 0.147 0.295
```

## Properties
**N(E_F)**: 2.3 states/eV per cell

---

Stability, highest: *P*

---

*P*
# Li2Cd2In

Li2Cd2In at its PBEsol-relaxed geometry (SCAN, Alexandria via LeMat-Bulk).

Structure (POSCAR):
```
Li2Cd2In
1.0
3.831 0.000 0.000
0.000 3.831 0.000
-1.915 -1.915 7.165
In Li Cd
1 2 2
Direct
0.000 0.000 0.000
0.250 0.750 0.500
0.750 0.250 0.500
0.394 0.394 0.788
0.606 0.606 0.212
```

## Properties
**N(E_F)**: 1.5 states/eV per cell

---

*Q*
# Li2Cd2In

Li2Cd2In at its PBEsol-relaxed geometry (SCAN, Alexandria via LeMat-Bulk).

Structure (POSCAR):
```
Li2Cd2In
1.0
3.270 0.000 0.000
0.000 7.685 0.000
0.000 0.000 7.685
Cd In Li
4 2 4
Direct
0.000 0.633 0.133
0.000 0.367 0.867
0.000 0.867 0.633
0.000 0.133 0.367
0.000 0.000 0.000
0.000 0.500 0.500
0.500 0.335 0.165
0.500 0.665 0.835
0.500 0.165 0.665
0.500 0.835 0.335
```

## Properties
**N(E_F)**: 2.9 states/eV per cell

---

Stability, highest: *Q*

---

*P*
# CdInMo2

CdInMo2 at its PBEsol-relaxed geometry (SCAN, Alexandria via LeMat-Bulk).

Structure (POSCAR):
```
CdInMo2
1.0
2.836 0.000 0.053
0.000 4.549 0.000
-0.831 0.000 5.397
Mo In Cd
2 1 1
Direct
0.803 0.500 0.237
0.951 0.000 0.014
0.307 0.500 0.760
0.439 0.000 0.488
```

## Properties
**N(E_F)**: 1.7 states/eV per cell

---

*Q*
# CdInMo2

CdInMo2 at its PBEsol-relaxed geometry (SCAN, Alexandria via LeMat-Bulk).

Structure (POSCAR):
```
CdInMo2
1.0
-0.790 0.506 2.719
-0.445 -2.735 -0.768
8.741 -2.253 2.960
Mo Cd In
2 1 1
Direct
0.000 0.000 0.979
0.500 0.500 0.772
0.000 0.000 0.518
0.500 0.500 0.232
```

## Properties
**N(E_F)**: 1.9 states/eV per cell

---

Stability, highest: *Q*

---

*P*
# CdInPb

CdInPb at its PBEsol-relaxed geometry (SCAN, Alexandria via LeMat-Bulk).

Structure (POSCAR):
```
CdInPb
1.0
-1.509 3.073 -0.216
-3.266 -1.772 -2.389
-0.199 -1.621 5.558
In Pb Cd
1 1 1
Direct
0.658 0.658 0.317
0.336 0.336 0.671
0.006 0.006 0.012
```

## Properties
**N(E_F)**: 1.2 states/eV per cell

---

*Q*
# CdInPb

CdInPb at its PBEsol-relaxed geometry (SCAN, Alexandria via LeMat-Bulk).

Structure (POSCAR):
```
CdInPb
1.0
3.317 0.000 0.000
0.000 3.317 0.000
-1.658 -1.658 6.939
Pb In Cd
1 1 1
Direct
0.339 0.339 0.679
0.656 0.656 0.312
0.005 0.005 0.009
```

## Properties
**N(E_F)**: 1.1 states/eV per cell

---

Stability, highest: *Q*